LiCrP2 PBE relaxed; ρ = 3.43 g cm⁻³; energy of formation from the pure elements = -0.29 eV per atom; N(E_F) = 2.501 states/eV/f.u.; relative energy among the computed polymorphs = 92 meV per atom
1.0
-4.322 2.953 -4.264
-6.322 2.312 -0.517
6.099 -0.676 2.816
Li Cr P
1 1 2
Cartesian
-3.354 2.422 -0.307
-5.786 2.862 -2.599
-1.057 2.101 -1.598
-10.315 5.102 -4.633